This record from Alexandria describes CrIrRh2 at its PBEsol-relaxed geometry. The functional is meta-GGA SCAN.

The structure in POSCAR format:
```
CrIrRh2
1.0
2.6707 0.0000 0.0000
0.0000 4.5601 0.0115
0.0000 -1.5049 4.3241
Rh Ir Cr
2 1 1
direct
0.0000 0.0000 0.0000
0.5000 0.5000 0.0000
0.0000 0.5000 0.5000
0.5000 0.0000 0.5000
```

Calculated values
VASP energy	-39.45	eV/atom
formation energy from the elements	-195	meV per atom

***

This record from Alexandria describes CrIrRh2 at its PBEsol-relaxed geometry. The functional is meta-GGA SCAN.

The structure in POSCAR format:
```
CrIrRh2
1.0
3.7306 0.0000 0.0000
0.0000 3.7306 0.0000
-1.8653 -1.8653 3.7747
Ir Cr Rh
1 1 2
direct
0.0000 0.0000 0.0000
0.5000 0.5000 0.0000
0.7500 0.2500 0.5000
0.2500 0.7500 0.5000
```

Calculated values
VASP energy	-39.45	eV/atom
formation energy from the elements	-195	meV per atom

***

This record from Alexandria describes CrIrRh2 at its PBEsol-relaxed geometry. The functional is meta-GGA SCAN.

The structure in POSCAR format:
```
CrIrRh2
1.0
-0.1009 2.4899 -0.9527
-2.7086 1.0627 3.0644
3.5545 1.1884 2.7296
Ir Rh Cr
1 2 1
direct
0.5000 0.5000 0.2149
0.0000 0.5000 0.7065
0.0000 0.0000 0.0419
0.5000 0.0000 0.5366
```

Calculated values
VASP energy	-39.38	eV/atom
formation energy from the elements	-119	meV per atom

***

This record from Alexandria describes CrIrRh2 at its PBEsol-relaxed geometry. The functional is meta-GGA SCAN.

The structure in POSCAR format:
```
CrIrRh2
1.0
3.7541 0.0000 0.0000
0.0000 3.7541 0.0000
-1.8770 -1.8770 3.7269
Rh Cr Ir
2 1 1
direct
0.0000 0.0000 0.0000
0.2500 0.7500 0.5000
0.5000 0.5000 0.0000
0.7500 0.2500 0.5000
```

Calculated values
VASP energy	-39.45	eV/atom
formation energy from the elements	-191	meV per atom

***

This record from Alexandria describes CrIrRh2 at its PBEsol-relaxed geometry. The functional is meta-GGA SCAN.

The structure in POSCAR format:
```
CrIrRh2
1.0
-1.1165 -0.4473 2.3657
-1.1694 -2.1787 -0.9638
5.8834 -4.0475 2.0113
Ir Cr Rh
1 1 2
direct
0.5000 0.5000 0.7365
0.0000 0.0000 0.5002
0.0000 0.0000 0.0003
0.5000 0.5000 0.2630
```

Calculated values
VASP energy	-39.37	eV/atom
formation energy from the elements	-109	meV per atom

***

This record from Alexandria describes CrIrRh2 at its PBEsol-relaxed geometry. The functional is meta-GGA SCAN.

The structure in POSCAR format:
```
CrIrRh2
1.0
-1.5887 2.1067 0.2348
-1.7094 0.1515 2.0180
4.8869 4.7352 5.5226
Rh Cr Ir
2 1 1
direct
0.2455 0.2455 0.2635
0.7545 0.7545 0.7365
0.5000 0.5000 0.5000
0.0000 0.0000 0.0000
```

Calculated values
VASP energy	-39.27	eV/atom
formation energy from the elements	-13	meV per atom

***

This record from Alexandria describes CrSn2IrRh at its PBEsol-relaxed geometry. The functional is meta-GGA SCAN.

The structure in POSCAR format:
```
CrSn2IrRh
1.0
4.2608 0.0000 0.0000
0.0000 4.8201 0.0000
0.0000 0.0000 4.8201
Sn Cr Ir Rh
2 1 1 1
direct
0.0000 0.0000 0.5000
0.0000 0.5000 0.0000
0.0000 0.0000 0.0000
0.5000 0.5000 0.5000
0.5000 0.0000 0.0000
```

Calculated values
VASP energy	-37.84	eV/atom
formation energy from the elements	1175	meV per atom

***

This record from Alexandria describes CrIr2Ru at its PBEsol-relaxed geometry. The functional is meta-GGA SCAN.

The structure in POSCAR format:
```
CrIr2Ru
1.0
-0.0919 2.4987 -0.9154
-3.3453 0.4604 1.5925
2.3577 1.7190 4.4558
Ir Ru Cr
2 1 1
direct
0.0000 0.0000 0.7453
0.0000 0.0000 0.2547
0.5000 0.5000 0.0000
0.5000 0.5000 0.5000
```

Calculated values
VASP energy	-49.05	eV/atom
formation energy from the elements	-194	meV per atom

***

This record from Alexandria describes CrIrRu2 at its PBEsol-relaxed geometry. The functional is meta-GGA SCAN.

The structure in POSCAR format:
```
CrIrRu2
1.0
-0.1130 -2.4336 -1.0534
-0.6421 -2.0768 1.5229
-8.5392 -0.3104 -1.7105
Cr Ru Ir
1 2 1
direct
0.5000 0.5000 0.5000
0.7539 0.7539 0.7384
0.2461 0.2461 0.2616
0.0000 0.0000 0.0000
```

Calculated values
VASP energy	-39.71	eV/atom
formation energy from the elements	76	meV per atom

***

This record from Alexandria describes Cr2IrRu at its PBEsol-relaxed geometry. The functional is meta-GGA SCAN.

The structure in POSCAR format:
```
Cr2IrRu
1.0
3.7197 0.0000 0.0000
0.0000 3.7197 0.0000
-1.8598 -1.8598 3.6321
Ru Ir Cr
1 1 2
direct
0.5000 0.5000 0.0000
0.0000 0.0000 0.0000
0.2500 0.7500 0.5000
0.7500 0.2500 0.5000
```

Calculated values
VASP energy	-35.75	eV/atom
formation energy from the elements	-76	meV per atom

***

This record from Alexandria describes Cr2IrRu at its PBEsol-relaxed geometry. The functional is meta-GGA SCAN.

The structure in POSCAR format:
```
Cr2IrRu
1.0
3.6268 0.0000 0.0000
0.0000 3.7231 0.0000
0.0000 0.0000 3.7231
Ir Cr Ru
1 2 1
direct
0.5000 0.5000 0.5000
0.0000 0.0000 0.5000
0.0000 0.5000 0.0000
0.5000 0.0000 0.0000
```

Calculated values
VASP energy	-35.75	eV/atom
formation energy from the elements	-80	meV per atom

***

This record from Alexandria describes CrIrRu2 at its PBEsol-relaxed geometry. The functional is meta-GGA SCAN.

The structure in POSCAR format:
```
CrIrRu2
1.0
3.7342 0.0000 0.0000
0.0000 3.7342 0.0000
-1.8671 -1.8671 3.7406
Ru Ir Cr
2 1 1
direct
0.7500 0.2500 0.5000
0.0000 0.0000 0.0000
0.2500 0.7500 0.5000
0.5000 0.5000 0.0000
```

Calculated values
VASP energy	-39.88	eV/atom
formation energy from the elements	-94	meV per atom